[1]
CeUNbN3: relaxed, PBE.

calculated total energy = -9.75 eV per atom
spin magnetization = 3.13 μB per cell
E_form (uncorrected) = -1.036 eV per atom

Geometry as CIF:
```
data_CeUNbN3
_cell_length_a 7.274
_cell_length_b 3.269
_cell_length_c 8.119
_cell_angle_alpha 90.00
_cell_angle_beta 93.10
_cell_angle_gamma 90.00
_space_group_name_H-M_alt 'P 1 21/m 1'
_space_group_IT_number 11
loop_
_space_group_symop_operation_xyz
'x,y,z'
'-x,-y,-z'
'-x,y+1/2,-z'
'x,-y+1/2,z'
loop_
_atom_site_label
_atom_site_fract_x
_atom_site_fract_y
_atom_site_fract_z
Ce1 0.137 0.250 0.173
U1 0.371 0.750 0.840
Nb1 0.132 0.250 0.569
N1 0.145 0.250 0.852
N2 0.165 0.750 0.396
N3 0.405 0.750 0.105
```

[2]
ReAs2Pt: relaxed, PBE.

formation enthalpy at 0 K = 275 meV/atom
energy above the lowest structure with this stoichiometry = 181.4 meV/atom
calculated total energy = -6.67 eV per atom
spin magnetization = 0.00 μB per cell

Geometry as CIF:
```
data_ReAs2Pt
_cell_length_a 2.919
_cell_length_b 4.585
_cell_length_c 12.137
_cell_angle_alpha 90.00
_cell_angle_beta 90.00
_cell_angle_gamma 90.00
_space_group_name_H-M_alt 'I m m m'
_space_group_IT_number 71
_space_group_name_Hall '-I 2 2'
loop_
_atom_site_label
_atom_site_fract_x
_atom_site_fract_y
_atom_site_fract_z
Re1 0.000 0.000 0.000
As1 0.000 0.500 0.334
Pt1 0.000 0.000 0.500
```

[3]
ScCdHAu2: relaxed, PBE.

calculated total energy = -3.71 eV per atom
spin magnetization = 0.00 μB per cell

Geometry as CIF:
```
data_ScCdHAu2
_cell_length_a 4.720
_cell_length_b 4.720
_cell_length_c 3.699
_cell_angle_alpha 90.00
_cell_angle_beta 90.00
_cell_angle_gamma 90.00
_space_group_name_H-M_alt 'P 4/m m m'
_space_group_IT_number 123
_space_group_name_Hall '-P 4 2'
loop_
_atom_site_label
_atom_site_fract_x
_atom_site_fract_y
_atom_site_fract_z
Sc1 0.000 0.000 0.000
Cd1 0.500 0.500 0.000
H1 0.000 0.000 0.500
Au1 0.000 0.500 0.500
```

[4]
NiTeW: relaxed, PBE.

energy above the lowest structure with this stoichiometry = 273.5 meV/atom
calculated total energy = -6.53 eV per atom
spin magnetization = 0.00 μB per cell
E_form (uncorrected) = 0.760 eV per atom

Geometry as CIF:
```
data_NiTeW
_cell_length_a 4.4483
_cell_length_b 4.4483
_cell_length_c 2.9317
_cell_angle_alpha 90.00
_cell_angle_beta 90.00
_cell_angle_gamma 120.00
_space_group_name_H-M_alt 'P 3 m 1'
_space_group_IT_number 156
loop_
_space_group_symop_operation_xyz
'x,y,z'
'-y,x-y,z'
'-x+y,-x,z'
'-y,-x,z'
'-x+y,y,z'
'x,x-y,z'
loop_
_atom_site_label
_atom_site_fract_x
_atom_site_fract_y
_atom_site_fract_z
Ni1 0.0000 0.0000 0.0000
Te1 0.3333 0.6667 0.1937
W1 0.6667 0.3333 0.4714
```